[1]
Here is crystalline K3Li2NiF8 at its relaxed geometry from Alexandria. Energies are from PBE+U.

As for the density of states at the Fermi level: 9.8 states/eV/cell. The value obtained for the calculated total energy is -59.832 eV per cell. For the theoretical density, the calculation gives 2720 kg/m³.

The structure belongs to space group P-3m1 (No. 164); the cell edges are 5.6919, 5.6919 and 7.4391 Å and the angles 90.00°, 90.00° and 120.00°. The distinct sites, in fractional coordinates, are K at (0.0000, 0.0000, 0.0000), K at (0.3333, 0.6667, 0.6549), Li at (0.3333, 0.6667, 0.2334), Ni at (0.0000, 0.0000, 0.5000), F at (0.1601, 0.3202, 0.3433) and F at (0.3333, 0.6667, 0.9932).


[2]
Here is crystalline K3Li3NiF8 at its relaxed geometry from Alexandria. Energies are from PBE+U.

As for the density of states at the Fermi level: 0.0 states/eV/cell. The value obtained for the calculated total energy is -132.225 eV per cell. For the theoretical density, the calculation gives 2791 kg/m³.

The structure belongs to space group C2/m (No. 12); the cell edges are 11.026, 6.348 and 6.973 Å and the angles 90.00°, 121.75° and 90.00°. The distinct sites, in fractional coordinates, are K at (0.000, 0.000, 0.000), K at (0.250, 0.250, 0.000), Li at (0.000, 0.500, 0.500), Li at (0.250, 0.250, 0.500), Ni at (0.000, 0.000, 0.500), F at (0.018, 0.238, 0.317), F at (0.219, 0.000, 0.682) and F at (0.230, 0.500, 0.688).


[3]
Here is crystalline K3Li2NiF9 at its relaxed geometry from Alexandria. Energies are from PBE+U.

The value obtained for the calculated total energy is -62.908 eV per cell. For the theoretical density, the calculation gives 2874 kg/m³.

The structure belongs to space group P-3m1 (No. 164); the cell edges are 5.7913, 5.7913 and 7.1792 Å and the angles 90.00°, 90.00° and 120.00°. The distinct sites, in fractional coordinates, are K at (0.0000, 0.0000, 0.0000), K at (0.3333, 0.6667, 0.3094), Li at (0.3333, 0.6667, 0.8933), Ni at (0.0000, 0.0000, 0.5000), F at (0.0000, 0.5000, 0.0000) and F at (0.1477, 0.2953, 0.6445).


[4]
Here is crystalline KLi2NiF8 at its relaxed geometry from Alexandria. Energies are from PBE+U.

The value obtained for the calculated total energy is -46.956 eV per cell. For the theoretical density, the calculation gives 2759 kg/m³.

The structure belongs to space group P-1 (No. 2); the cell edges are 4.614, 4.614 and 7.500 Å and the angles 89.51°, 83.71° and 89.61°. The distinct sites, in fractional coordinates, are K at (0.000, 0.000, 0.000), Li at (0.482, 0.511, 0.684), Ni at (0.000, 0.000, 0.500), F at (0.179, 0.186, 0.667), F at (0.222, 0.175, 0.316), F at (0.266, 0.712, 0.500) and F at (0.328, 0.514, 0.933).